# La2AgIr2

A geometry-optimized La2AgIr2 structure (PBE, Alexandria).

Structure (POSCAR):
```
La2AgIr2
1.0
7.696 0.000 0.000
0.000 7.696 0.000
0.000 0.000 3.940
La Ag Ir
4 2 4
Cartesian
1.302 2.546 0.000
2.546 6.393 0.000
5.150 1.302 0.000
6.393 5.150 0.000
0.000 0.000 1.970
3.848 3.848 1.970
1.022 4.870 1.970
2.825 1.022 1.970
4.870 6.673 1.970
6.673 2.825 1.970
```

Output
Energy in eV/cell: -65.7
Excess energy over the best structure of this formula in the dataset in meV/atom: 68
Formation enthalpy at 0 K in meV per atom: -489

# La6AgIr3

A geometry-optimized La6AgIr3 structure (PBE, Alexandria).

Structure (POSCAR):
```
La6AgIr3
1.0
12.279 0.000 0.000
0.000 4.284 0.000
-4.175 0.000 11.624
La Ag Ir
12 2 6
Cartesian
-1.036 1.071 4.336
-2.771 3.213 11.072
-0.347 1.071 9.172
2.067 3.213 3.153
2.677 1.071 6.625
5.044 1.071 1.248
3.060 3.213 10.375
5.427 3.213 4.999
6.037 1.071 8.471
8.451 3.213 2.451
10.875 1.071 0.552
9.140 3.213 7.288
0.133 3.213 6.554
7.971 1.071 5.070
-0.844 3.213 2.381
0.111 3.213 11.051
3.750 1.071 3.951
4.354 3.213 7.672
7.992 1.071 0.573
8.948 1.071 9.243
```

Output
Energy in eV/cell: -130.1
Formation enthalpy at 0 K in meV per atom: -606

# LaAgIr4

A geometry-optimized LaAgIr4 structure (PBE, Alexandria).

Structure (POSCAR):
```
LaAgIr4
1.0
0.000 3.797 3.797
3.797 0.000 3.797
3.797 3.797 0.000
La Ag Ir
1 1 4
Cartesian
0.000 0.000 0.000
5.695 5.695 5.695
2.849 2.849 2.849
4.744 4.744 2.849
4.744 2.849 4.744
2.849 4.744 4.744
```

Output
Energy in eV/cell: -44.4
Formation enthalpy at 0 K in meV per atom: -190

# LaAg3Ir

A geometry-optimized LaAg3Ir structure (PBE, Alexandria).

Structure (POSCAR):
```
LaAg3Ir
1.0
5.321 0.000 0.000
0.000 5.321 0.000
0.000 0.000 5.321
La Ag Ir
1 3 1
Cartesian
0.000 0.000 0.000
0.000 0.000 2.660
0.000 2.660 0.000
2.660 0.000 0.000
2.660 2.660 2.660
```

Output
Energy in eV/cell: -12.8
Excess energy over the best structure of this formula in the dataset in meV/atom: 1465
Formation enthalpy at 0 K in meV per atom: 1906

# La8Ag2Ir

A geometry-optimized La8Ag2Ir structure (PBE, Alexandria).

Structure (POSCAR):
```
La8Ag2Ir
1.0
9.331 -2.509 0.000
9.331 2.509 0.000
-0.466 0.000 7.465
La Ag Ir
8 2 1
Cartesian
0.046 0.000 2.036
3.568 0.000 6.233
6.341 0.000 3.755
7.605 0.000 0.203
10.592 0.000 7.263
11.856 0.000 3.710
14.629 0.000 1.233
18.151 0.000 5.429
3.323 0.000 1.830
14.874 0.000 5.635
9.098 0.000 3.733
```

Output
Energy in eV/cell: -56.5
Excess energy over the best structure of this formula in the dataset in meV/atom: 0
Formation enthalpy at 0 K in meV per atom: -233

# La5Ag2Ir2

A geometry-optimized La5Ag2Ir2 structure (PBE, Alexandria).

Structure (POSCAR):
```
La5Ag2Ir2
1.0
7.988 -3.965 0.000
7.988 3.965 0.000
0.000 0.000 8.031
La Ag Ir
10 4 4
Cartesian
0.000 0.000 0.000
6.038 2.625 5.374
6.038 1.340 1.359
9.938 2.625 5.374
9.938 1.340 1.359
7.988 0.000 4.016
6.038 -1.340 6.673
6.038 -2.625 2.657
9.938 -1.340 6.673
9.938 -2.625 2.657
3.381 0.000 0.000
4.607 0.000 4.016
11.369 0.000 4.016
12.595 0.000 0.000
7.988 2.891 2.943
7.988 1.075 6.958
7.988 -1.075 1.073
7.988 -2.891 5.089
```

Output
Energy in eV/cell: -105.0
Formation enthalpy at 0 K in meV per atom: -496

# LaAg4Ir

A geometry-optimized LaAg4Ir structure (PBE, Alexandria).

Structure (POSCAR):
```
LaAg4Ir
1.0
0.000 3.907 3.907
3.907 0.000 3.907
3.907 3.907 0.000
La Ag Ir
1 4 1
Cartesian
0.000 0.000 0.000
4.878 2.937 2.937
2.937 4.878 2.937
2.937 2.937 4.878
4.878 4.878 4.878
1.954 1.954 1.954
```

Output
Energy in eV/cell: -25.1
Formation enthalpy at 0 K in meV per atom: 21

# La11Ag9Ir4

A geometry-optimized La11Ag9Ir4 structure (PBE, Alexandria).

Structure (POSCAR):
```
La11Ag9Ir4
1.0
7.398 -11.060 0.000
7.398 11.060 0.000
0.000 0.000 3.845
La Ag Ir
11 9 4
Cartesian
0.000 0.000 0.000
3.685 3.693 0.000
7.398 7.400 0.000
4.506 0.000 0.000
7.398 2.880 0.000
3.685 -3.693 0.000
11.111 3.693 0.000
7.398 -2.880 0.000
10.290 0.000 0.000
7.398 -7.400 0.000
11.111 -3.693 0.000
2.062 1.581 1.922
5.865 5.285 1.922
2.062 -1.581 1.922
8.931 5.285 1.922
7.398 0.000 1.922
5.865 -5.285 1.922
12.734 1.581 1.922
8.931 -5.285 1.922
12.734 -1.581 1.922
5.183 2.199 1.922
5.183 -2.199 1.922
9.613 2.199 1.922
9.613 -2.199 1.922
```

Output
Energy in eV/cell: -125.7
Formation enthalpy at 0 K in meV per atom: -432